No. 1
First-principles (PBE) data for crystalline PmPuIrPt at its relaxed geometry, as listed in Alexandria.

```
PmPuIrPt
1.0
3.896 0.000 0.000
0.000 4.157 0.000
-1.948 0.000 5.605
Pm Pu Ir Pt
1 1 1 1
Direct
0.145 0.000 0.291
0.865 0.500 0.730
0.405 0.000 0.811
0.584 0.500 0.168
```

Computed properties:
E_tot in eV/atom: -9.279
E above lowest polymorph in eV per atom: 0.000
Total magnetization in μB per cell: 5.1

No. 2
First-principles (PBE) data for crystalline Pm2Sb4Ir3Pt at its relaxed geometry, as listed in Alexandria.

```
Pm2Sb4Ir3Pt
1.0
-4.269 -0.211 1.704
-1.068 -3.249 -3.078
3.042 -7.360 6.713
Pm Sb Ir Pt
2 4 3 1
Direct
0.500 0.000 0.258
0.000 0.500 0.742
0.500 0.500 0.000
0.000 0.000 0.000
0.500 0.000 0.632
0.000 0.500 0.368
0.000 0.000 0.500
0.500 0.000 0.879
0.000 0.500 0.121
0.500 0.500 0.500
```

Computed properties:
E_tot in eV/atom: -6.495
Total magnetization in μB per cell: 0.0

No. 3
First-principles (PBE) data for crystalline Pm2Sb4IrPt3 at its relaxed geometry, as listed in Alexandria.

```
Pm2Sb4IrPt3
1.0
4.590 0.000 0.000
0.000 4.590 0.000
0.000 0.000 10.794
Pm Sb Ir Pt
2 4 1 3
Direct
0.500 0.000 0.273
0.000 0.500 0.727
0.500 0.500 0.000
0.000 0.000 0.000
0.500 0.000 0.628
0.000 0.500 0.372
0.500 0.500 0.500
0.000 0.000 0.500
0.500 0.000 0.868
0.000 0.500 0.132
```

Computed properties:
E_tot in eV/atom: -6.016
Total magnetization in μB per cell: 0.0

No. 4
First-principles (PBE) data for crystalline PmSbIrPt at its relaxed geometry, as listed in Alexandria.

```
PmSbIrPt
1.0
-4.235 -0.435 -2.390
-3.480 -2.961 1.720
-4.083 1.881 1.905
Sb Ir Pt Pm
1 1 1 1
Direct
0.500 0.500 0.500
0.750 0.750 0.750
0.250 0.250 0.250
0.000 0.000 0.000
```

Computed properties:
E_tot in eV/atom: -6.406
Total magnetization in μB per cell: 0.0

No. 5
First-principles (PBE) data for crystalline PmScIrPt at its relaxed geometry, as listed in Alexandria.

```
PmScIrPt
1.0
4.838 0.000 0.000
2.419 4.190 0.000
2.419 1.397 3.950
Sc Ir Pt Pm
1 1 1 1
Direct
0.500 0.500 0.500
0.250 0.250 0.250
0.750 0.750 0.750
0.000 0.000 0.000
```

Computed properties:
E_tot in eV/atom: -7.390
Total magnetization in μB per cell: 0.0

No. 6
First-principles (PBE) data for crystalline PmSi3IrPt at its relaxed geometry, as listed in Alexandria.

```
PmSi3IrPt
1.0
5.864 0.000 0.000
0.000 5.862 0.000
0.000 -2.931 7.101
Pm Si Ir Pt
2 6 2 2
Direct
0.750 0.307 0.615
0.250 0.693 0.385
0.250 0.249 0.498
0.000 0.261 0.000
0.500 0.739 0.000
0.500 0.261 0.000
0.000 0.739 0.000
0.750 0.751 0.502
0.250 0.410 0.820
0.750 0.590 0.180
0.250 0.086 0.172
0.750 0.914 0.828
```

Computed properties:
E_tot in eV/atom: -6.619
Total magnetization in μB per cell: 0.0

No. 7
First-principles (PBE) data for crystalline Pm3Si2IrPt9 at its relaxed geometry, as listed in Alexandria.

```
Pm3Si2IrPt9
1.0
7.631 0.000 0.000
-3.816 6.609 0.000
0.000 0.000 6.135
Pm Si Ir Pt
3 2 1 9
Direct
0.333 0.667 0.650
0.000 0.000 0.000
0.667 0.333 0.350
0.333 0.667 0.146
0.667 0.333 0.854
0.000 0.000 0.500
0.826 0.174 0.681
0.826 0.652 0.681
0.348 0.174 0.681
0.652 0.826 0.319
0.174 0.348 0.319
0.174 0.826 0.319
0.500 0.000 0.000
0.000 0.500 0.000
0.500 0.500 0.000
```

Computed properties:
E_tot in eV/atom: -6.435
Total magnetization in μB per cell: 0.0

No. 8
First-principles (PBE) data for crystalline Pm2Si3IrPt4 at its relaxed geometry, as listed in Alexandria.

```
Pm2Si3IrPt4
1.0
-0.611 -0.896 4.054
-0.190 -4.088 -0.932
10.251 -0.789 1.370
Pm Si Ir Pt
2 3 1 4
Direct
0.500 0.000 0.255
0.000 0.500 0.745
0.000 0.000 0.500
0.500 0.000 0.873
0.000 0.500 0.127
0.500 0.500 0.500
0.500 0.500 0.000
0.000 0.000 0.000
0.500 0.000 0.648
0.000 0.500 0.352
```

Computed properties:
E_tot in eV/atom: -6.784
Total magnetization in μB per cell: 0.0

No. 9
First-principles (PBE) data for crystalline Pm3Si6IrPt2 at its relaxed geometry, as listed in Alexandria.

```
Pm3Si6IrPt2
1.0
-4.321 0.519 -3.887
0.052 -4.493 3.722
-4.153 4.248 5.185
Pm Si Ir Pt
3 6 1 2
Direct
0.333 0.667 0.659
0.667 0.333 0.341
0.000 0.000 0.000
0.610 0.805 0.309
0.195 0.390 0.309
0.195 0.805 0.309
0.805 0.610 0.691
0.390 0.195 0.691
0.805 0.195 0.691
0.000 0.000 0.500
0.667 0.333 0.949
0.333 0.667 0.051
```

Computed properties:
E_tot in eV/atom: -6.163
Total magnetization in μB per cell: 0.0

No. 10
First-principles (PBE) data for crystalline PmSm2Ir2Pt at its relaxed geometry, as listed in Alexandria.

```
PmSm2Ir2Pt
1.0
-5.523 0.836 -0.646
-1.046 -4.820 2.700
3.143 4.574 3.528
Pm Sm Ir Pt
1 2 2 1
Direct
0.500 0.500 0.000
0.250 0.750 0.500
0.750 0.250 0.500
0.755 0.755 0.510
0.245 0.245 0.490
0.000 0.000 0.000
```

Computed properties:
E_tot in eV/atom: -6.635
Total magnetization in μB per cell: 0.0

No. 11
First-principles (PBE) data for crystalline PmSnIrPt at its relaxed geometry, as listed in Alexandria.

```
PmSnIrPt
1.0
-1.352 -4.566 0.910
1.144 -3.534 -3.116
3.323 -3.316 1.209
Ir Sn Pt Pm
1 1 1 1
Direct
0.750 0.750 0.750
0.000 0.000 0.000
0.250 0.250 0.250
0.500 0.500 0.500
```

Computed properties:
E_tot in eV/atom: -6.458
Total magnetization in μB per cell: 0.0

No. 12
First-principles (PBE) data for crystalline Pm2Sn4IrPt3 at its relaxed geometry, as listed in Alexandria.

```
Pm2Sn4IrPt3
1.0
4.509 0.000 0.000
0.000 4.509 0.000
0.000 0.000 10.977
Pm Sn Ir Pt
2 4 1 3
Direct
0.500 0.000 0.261
0.000 0.500 0.739
0.500 0.500 0.000
0.000 0.000 0.000
0.500 0.000 0.630
0.000 0.500 0.370
0.500 0.500 0.500
0.000 0.000 0.500
0.500 0.000 0.866
0.000 0.500 0.134
```

Computed properties:
E_tot in eV/atom: -5.996
Total magnetization in μB per cell: 0.0

No. 13
First-principles (PBE) data for crystalline Pm2Sn4Ir3Pt at its relaxed geometry, as listed in Alexandria.

```
Pm2Sn4Ir3Pt
1.0
4.433 0.000 0.000
0.000 4.433 0.000
0.000 0.000 11.147
Pm Sn Ir Pt
2 4 3 1
Direct
0.500 0.000 0.245
0.000 0.500 0.755
0.500 0.500 0.000
0.000 0.000 0.000
0.500 0.000 0.635
0.000 0.500 0.365
0.000 0.000 0.500
0.500 0.000 0.866
0.000 0.500 0.134
0.500 0.500 0.500
```

Computed properties:
E_tot in eV/atom: -6.415
Total magnetization in μB per cell: 0.0

No. 14
First-principles (PBE) data for crystalline Tb2PmIr2Pt at its relaxed geometry, as listed in Alexandria.

```
Tb2PmIr2Pt
1.0
-3.563 0.569 4.187
-0.016 -5.478 0.731
5.800 2.890 0.894
Tb Pm Ir Pt
2 1 2 1
Direct
0.250 0.750 0.500
0.750 0.250 0.500
0.500 0.500 0.000
0.756 0.756 0.511
0.244 0.244 0.489
0.000 0.000 0.000
```

Computed properties:
E_tot in eV/atom: -6.651
Total magnetization in μB per cell: 0.0

No. 15
First-principles (PBE) data for crystalline Pm8Te4Ir3Pt at its relaxed geometry, as listed in Alexandria.

```
Pm8Te4Ir3Pt
1.0
8.458 0.000 0.000
0.000 8.901 0.303
-4.229 -4.222 5.986
Pm Te Ir Pt
8 4 3 1
Direct
0.240 0.711 0.970
0.240 0.711 0.481
0.263 0.289 0.526
0.730 0.711 0.970
0.270 0.289 0.030
0.737 0.711 0.474
0.760 0.289 0.519
0.760 0.289 0.030
0.500 0.000 0.000
0.500 0.000 0.500
0.000 0.000 0.000
0.000 0.000 0.500
0.500 0.500 0.000
0.500 0.500 0.500
0.000 0.500 0.500
0.000 0.500 0.000
```

Computed properties:
E_tot in eV/atom: -6.282
Total magnetization in μB per cell: 0.0

No. 16
First-principles (PBE) data for crystalline Pm6Te3Ir2Pt at its relaxed geometry, as listed in Alexandria.

```
Pm6Te3Ir2Pt
1.0
-3.865 -1.420 -0.970
1.601 -7.484 4.578
-1.939 7.067 6.604
Pm Te Ir Pt
6 3 2 1
Direct
0.338 0.888 0.676
0.676 0.562 0.351
0.662 0.112 0.324
0.013 0.236 0.025
0.987 0.764 0.975
0.324 0.438 0.649
0.500 0.500 0.000
0.836 0.166 0.671
0.164 0.834 0.329
0.833 0.666 0.666
0.167 0.334 0.334
0.500 0.000 0.000
```

Computed properties:
E_tot in eV/atom: -6.245
Total magnetization in μB per cell: 0.0

No. 17
First-principles (PBE) data for crystalline PmTmIrPt at its relaxed geometry, as listed in Alexandria.

```
PmTmIrPt
1.0
-3.165 -0.450 -3.752
1.393 -2.285 -4.140
-1.874 -4.418 -1.128
Ir Tm Pt Pm
1 1 1 1
Direct
0.750 0.750 0.750
0.500 0.500 0.500
0.250 0.250 0.250
0.000 0.000 0.000
```

Computed properties:
E_tot in eV/atom: -6.985
Total magnetization in μB per cell: 0.0

No. 18
First-principles (PBE) data for crystalline PmUIrPt at its relaxed geometry, as listed in Alexandria.

```
PmUIrPt
1.0
4.954 0.000 0.000
2.477 4.291 0.000
2.477 1.430 4.045
Ir U Pt Pm
1 1 1 1
Direct
0.250 0.250 0.250
0.500 0.500 0.500
0.750 0.750 0.750
0.000 0.000 0.000
```

Computed properties:
E_tot in eV/atom: -8.310
Total magnetization in μB per cell: 2.6

No. 19
First-principles (PBE) data for crystalline PmYIrPt at its relaxed geometry, as listed in Alexandria.

```
PmYIrPt
1.0
-2.840 3.883 1.233
-3.556 1.559 -3.097
-4.780 -0.688 1.159
Y Ir Pt Pm
1 1 1 1
Direct
0.750 0.750 0.750
0.000 0.000 0.000
0.500 0.500 0.500
0.250 0.250 0.250
```

Computed properties:
E_tot in eV/atom: -7.446
E above lowest polymorph in eV per atom: 0.037
Total magnetization in μB per cell: 0.0

No. 20
First-principles (PBE) data for crystalline PmYIrPt at its relaxed geometry, as listed in Alexandria.

```
PmYIrPt
1.0
3.907 0.000 0.000
0.000 4.321 0.000
-1.954 0.000 5.404
Pm Y Ir Pt
1 1 1 1
Direct
0.145 0.000 0.290
0.859 0.500 0.719
0.413 0.000 0.826
0.583 0.500 0.165
```

Computed properties:
E_tot in eV/atom: -7.484
E above lowest polymorph in eV per atom: 0.000
Total magnetization in μB per cell: 0.0

No. 21
First-principles (PBE) data for crystalline Pm2Zn4IrPt3 at its relaxed geometry, as listed in Alexandria.

```
Pm2Zn4IrPt3
1.0
-2.517 3.141 -1.130
-0.874 -1.986 -3.574
-8.351 -4.963 4.801
Pm Zn Ir Pt
2 4 1 3
Direct
0.500 0.000 0.268
0.000 0.500 0.732
0.500 0.500 0.000
0.000 0.000 0.000
0.500 0.000 0.631
0.000 0.500 0.369
0.500 0.500 0.500
0.000 0.000 0.500
0.500 0.000 0.860
0.000 0.500 0.140
```

Computed properties:
E_tot in eV/atom: -4.849
Total magnetization in μB per cell: 0.0

No. 22
First-principles (PBE) data for crystalline PmZn3IrPt at its relaxed geometry, as listed in Alexandria.

```
PmZn3IrPt
1.0
5.466 0.000 0.000
0.000 8.081 0.000
0.000 -4.040 5.523
Pm Zn Ir Pt
2 6 2 2
Direct
0.750 0.294 0.589
0.250 0.706 0.411
0.250 0.178 0.356
0.000 0.258 0.000
0.500 0.742 0.000
0.500 0.258 0.000
0.000 0.742 0.000
0.750 0.822 0.644
0.250 0.953 0.907
0.750 0.047 0.093
0.250 0.409 0.817
0.750 0.591 0.183
```

Computed properties:
E_tot in eV/atom: -4.288
Total magnetization in μB per cell: 0.0

No. 23
First-principles (PBE) data for crystalline PmPuIr at its relaxed geometry, as listed in Alexandria.

```
PmPuIr
1.0
-3.276 0.660 -1.371
1.067 -1.322 -3.187
-0.581 -4.792 3.839
Ir Pu Pm
1 1 1
Direct
0.604 0.604 0.207
0.982 0.982 0.965
0.264 0.264 0.528
```

Computed properties:
E_tot in eV/atom: -9.621
E above lowest polymorph in eV per atom: 0.198
Total magnetization in μB per cell: 5.7

No. 24
First-principles (PBE) data for crystalline PmPu2Ir at its relaxed geometry, as listed in Alexandria.

```
PmPu2Ir
1.0
3.727 0.000 0.000
1.864 3.228 0.000
1.864 1.076 9.817
Ir Pm Pu
1 1 2
Direct
0.500 0.500 0.500
0.000 0.000 0.000
0.108 0.108 0.676
0.892 0.892 0.324
```

Computed properties:
E_tot in eV/atom: -10.481
E above lowest polymorph in eV per atom: 0.378
Total magnetization in μB per cell: 11.1

No. 25
First-principles (PBE) data for crystalline Pm2PuIr2 at its relaxed geometry, as listed in Alexandria.

```
Pm2PuIr2
1.0
-4.675 -3.375 1.696
0.475 -4.054 -6.760
5.496 0.193 4.883
Pm Pu Ir
4 2 4
Direct
0.834 0.698 0.669
0.166 0.302 0.331
0.666 0.029 0.331
0.334 0.971 0.669
0.750 0.500 0.000
0.250 0.500 0.000
0.408 0.680 0.815
0.592 0.320 0.185
0.092 0.865 0.185
0.908 0.135 0.815
```

Computed properties:
E_tot in eV/atom: -8.752
E above lowest polymorph in eV per atom: 0.139
Total magnetization in μB per cell: 11.1